# 1
The following is a GGA-PBE calculation of crystalline ZrReW2 at its relaxed geometry, from Alexandria via LeMat-Bulk.

POSCAR file:
```
ZrReW2
1.0
-3.653 -2.156 1.625
0.351 -2.042 -1.920
3.179 -3.319 2.742
W Re Zr
2 1 1
Direct
0.500 0.242 0.242
0.000 0.001 0.000
0.500 0.755 0.755
0.000 0.503 0.503
```

Calculated values
relative energy among the computed polymorphs: 73 meV per atom
formation energy: 0.070 eV/f.u.
DOS at the Fermi energy: 2.03 states/eV/cell
E_tot: -0.8605 Ry/atom


# 2
The following is a GGA-PBE calculation of crystalline La2TlCu at its relaxed geometry, from Alexandria via LeMat-Bulk.

POSCAR file:
```
La2TlCu
1.0
-2.390 -4.042 -0.924
3.213 -2.074 0.764
-0.064 -1.408 6.325
Tl Cu La
1 1 2
Direct
0.000 0.691 0.491
0.500 0.552 0.772
0.500 0.279 0.314
0.000 0.977 0.923
```

Calculated values
formation energy: -0.827 eV/f.u.
DOS at the Fermi energy: 3.51 states/eV/cell
E_tot: -0.3150 Ry/atom


# 3
The following is a GGA-PBE calculation of crystalline PPdN at its relaxed geometry, from Alexandria via LeMat-Bulk.

POSCAR file:
```
PPdN
1.0
2.854 0.000 0.000
0.000 5.635 -0.788
-1.427 -3.303 5.225
P N Pd
2 2 2
Direct
0.647 0.469 0.293
0.353 0.531 0.707
0.156 0.300 0.311
0.844 0.700 0.689
0.384 0.178 0.768
0.616 0.822 0.232
```

Calculated values
raw formation energy: 0.158 eV per atom
DOS at the Fermi energy: 2.51 states/eV/cell
E_tot: -0.4521 Ry/atom


# 4
The following is a GGA-PBE calculation of crystalline Na2UO4 at its relaxed geometry, from Alexandria via LeMat-Bulk.

POSCAR file:
```
Na2UO4
1.0
5.942 0.000 0.000
0.000 5.949 0.000
0.000 0.000 12.159
Na O U
8 16 4
Direct
0.038 0.471 0.843
0.462 0.971 0.157
0.962 0.971 0.343
0.462 0.529 0.343
0.538 0.471 0.657
0.038 0.029 0.657
0.538 0.029 0.843
0.962 0.529 0.157
0.690 0.188 0.027
0.031 0.566 0.344
0.969 0.066 0.844
0.810 0.812 0.527
0.531 0.566 0.156
0.531 0.934 0.344
0.190 0.312 0.027
0.310 0.812 0.973
0.690 0.312 0.473
0.969 0.434 0.656
0.810 0.688 0.973
0.031 0.934 0.156
0.190 0.188 0.473
0.310 0.688 0.527
0.469 0.434 0.844
0.469 0.066 0.656
0.500 0.500 0.000
0.000 0.500 0.500
0.500 0.000 0.500
0.000 0.000 0.000
```

Calculated values
raw formation energy: -2.604 eV per atom
DOS at the Fermi energy: 0.00 states/eV/cell
E_tot: -0.5459 Ry/atom